Entry 1:
VASP calculation (PBE) on an optimized crystal structure of Rb2ScPCl6.

Values from the calculation:
Formation energy from raw total energies: -1354 kJ/mol of formula units

```
Rb2ScPCl6
1.0
-4.0807 4.0807 4.5469
4.0807 -4.0807 4.5469
4.0807 4.0807 -4.5469
Rb Sc P Cl
2 1 1 6
direct
0.2500 0.7500 0.5000
0.7500 0.2500 0.5000
0.0000 0.0000 0.0000
0.5000 0.5000 0.0000
0.2173 0.2173 0.4345
0.2173 0.7827 0.0000
0.2581 0.2581 0.0000
0.7419 0.7419 0.0000
0.7827 0.2173 0.0000
0.7827 0.7827 0.5655
```



Entry 2:
VASP calculation (PBE) on an optimized crystal structure of Ac3La2Ge3.

Values from the calculation:
Formation energy from the elements: -10.906 kcal/mol of atoms

```
Ac3La2Ge3
1.0
-2.1544 2.4329 12.2099
2.1544 -2.4329 12.2099
2.1544 2.4329 -12.2099
Ac La Ge
3 2 3
direct
0.0000 0.0000 0.0000
0.3842 0.8842 0.5000
0.6158 0.1158 0.5000
0.2605 0.2605 0.0000
0.7395 0.7395 0.0000
0.1572 0.6572 0.5000
0.5000 0.5000 0.0000
0.8428 0.3428 0.5000
```